First-principles (GGA-PBEsol) data for Be3AlCd after structural relaxation, as listed in the Alexandria database.

Calculated values
Energy relative to the elements ... 1.114 eV per atom
Magnetization ... 0.000 μB/cell
ρ ... 3.2 Mg/m³

extended XYZ file:
```
5
Lattice="-3.2851 0.8459 -2.8111 0.1683 -4.1576 -1.4477 -2.9308 -1.1869 3.0678" Properties=species:S:1:pos:R:3 pbc="T T T"
Be -1.4654 -0.5935 1.5339
Be -1.6425 0.4229 -1.4055
Be 0.0842 -2.0788 -0.7239
Al -3.0238 -2.2493 -0.5955
Cd 0.0000 0.0000 0.0000
```